The following is a PBE calculation of an optimized crystal structure of CePuGaHg, from Alexandria.

The energy above the most stable polymorph in this dataset comes out at 0 meV/atom. The formation energy from the elements is -0.304 eV/atom. The calculation puts the raw total energy at -6.2030 eV/atom. As for the space group: P4mm, No. 99.

The structure in extended XYZ format:
```
4
Lattice="3.218 0.000 0.000 0.000 3.218 0.000 0.000 0.000 9.156" Properties=species:S:1:pos:R:3 pbc="T T T"
Ce 0.000 0.000 0.000
Pu 0.000 0.000 4.863
Ga 1.609 1.609 7.000
Hg 1.609 1.609 2.440
```